# 1
Here is Nb2VCoC after structural relaxation from Alexandria. Energies are from PBE.

extended XYZ file:
```
5
Lattice="4.2913 0.0000 0.0000 0.0000 4.2913 0.0000 0.0000 0.0000 3.8380" Properties=species:S:1:pos:R:3 pbc="T T T"
Nb 0.0000 2.1456 0.0000
Nb 2.1456 0.0000 0.0000
V 0.0000 0.0000 1.9190
Co 2.1456 2.1456 1.9190
C 0.0000 0.0000 0.0000
```

# 2
4
Lattice="3.2533 0.0000 0.0000 0.0000 3.2533 0.0000 0.0000 0.0000 8.5599" Properties=species:S:1:pos:R:3 comment="PBE CeSc2Tc, relaxed" polymorph_energy_ev_per_atom=0.128 pbc="T T T"
Ce 0.0000 0.0000 0.0000
Sc 1.6266 1.6266 2.7254
Sc 1.6266 1.6266 5.8345
Tc 0.0000 0.0000 4.2800

# 3
4
Lattice="3.5600 0.0000 0.0000 0.0000 3.5600 0.0000 0.0000 0.0000 10.0823" Properties=species:S:1:pos:R:3 comment="PBE TbDyY2, relaxed" polymorph_energy_ev_per_atom=0.013 pbc="T T T"
Tb 0.0000 0.0000 0.0000
Dy 0.0000 0.0000 5.0412
Y 1.7800 1.7800 2.5254
Y 1.7800 1.7800 7.5569

# 4
5
Lattice="3.9683 0.0000 0.0000 0.0000 3.9683 0.0000 0.0000 0.0000 3.9683" Properties=species:S:1:pos:R:3 comment="PBE Li3NbC, relaxed" polymorph_energy_ev_per_atom=0.000 pbc="T T T"
Li 0.0000 0.0000 1.9841
Li 0.0000 1.9841 0.0000
Li 1.9841 0.0000 0.0000
Nb 1.9841 1.9841 1.9841
C 0.0000 0.0000 0.0000

| no. | final energy (eV/cell) |
| --- | --- |
| 1 | -45.8 |
| 2 | -29.2 |
| 3 | -22.1 |
| 4 | -20.2 |